7
Lattice="3.308 0.000 -0.399 0.000 3.246 0.000 -0.149 0.000 12.674" Properties=species:S:1:pos:R:3 comment="Li2Zr3Pd2, optimized geometry, DFT PBE" sg="Cmmm (65)" dos_ef_per_ev_cell=5.56 m_tot_mub_per_cell=0.00 dft_energy_ev_per_atom=-6.03 pbc="T T T"
Li 0.884 1.623 7.323
Li 2.275 1.623 4.952
Zr 1.249 1.623 10.354
Zr 1.910 1.623 1.920
Zr 0.000 0.000 0.000
Pd 0.446 0.000 3.693
Pd 2.713 0.000 8.581



11
Lattice="-2.448 -2.369 -3.919 7.434 0.571 1.409 2.307 -2.815 6.658" Properties=species:S:1:pos:R:3 comment="Li3ZrPd7, optimized geometry, DFT PBE" sg="C2/m (12)" dos_ef_per_ev_cell=3.69 m_tot_mub_per_cell=0.00 dft_energy_ev_per_atom=-4.97 pbc="T T T"
Li 6.468 -0.067 2.398
Li -1.224 -1.185 -1.960
Li 3.273 -2.177 5.669
Zr 3.646 -2.306 2.074
Pd 1.619 -1.062 0.896
Pd 7.601 -1.648 4.253
Pd 1.430 -1.817 -1.884
Pd 5.863 -2.796 6.031
Pd 4.870 -1.122 4.033
Pd -0.308 -2.965 -0.105
Pd 5.674 -3.551 3.251



10
Lattice="8.106 0.000 0.000 0.000 8.106 0.000 0.000 0.000 2.993" Properties=species:S:1:pos:R:3 comment="LiZr2Pd2, optimized geometry, DFT PBE" relative_energy_ev_per_atom=0.097 sg="P4/mbm (127)" dos_ef_per_ev_cell=8.31 m_tot_mub_per_cell=0.00 pbc="T T T"
Zr 2.784 6.837 0.000
Zr 6.837 5.322 0.000
Zr 5.322 1.269 0.000
Zr 1.269 2.784 0.000
Pd 1.125 5.178 1.496
Pd 5.178 6.981 1.496
Pd 6.981 2.928 1.496
Pd 2.928 1.125 1.496
Li 0.000 0.000 0.000
Li 4.053 4.053 0.000



19
Lattice="7.207 -0.884 -1.059 -1.967 6.990 -1.059 -1.967 -2.291 6.688" Properties=species:S:1:pos:R:3 comment="Li6ZrPd12, optimized geometry, DFT PBE" sg="R-3 (148)" dos_ef_per_ev_cell=9.29 m_tot_mub_per_cell=0.00 dft_energy_ev_per_atom=-4.76 pbc="T T T"
Li 1.899 5.057 1.241
Li 3.248 1.889 -0.628
Li -1.437 3.066 1.747
Li 1.375 -1.243 3.329
Li 0.025 1.925 5.197
Li 4.711 0.748 2.823
Zr 0.000 0.000 0.000
Pd 3.317 2.892 1.929
Pd 0.862 3.489 3.190
Pd 2.356 1.234 4.002
Pd -0.044 0.922 2.640
Pd 2.411 0.326 1.379
Pd 0.918 2.580 0.567
Pd 4.331 4.412 -0.055
Pd -0.430 4.752 -0.291
Pd 4.762 -0.339 0.238
Pd -1.057 -0.598 4.624
Pd 3.704 -0.938 4.860
Pd -1.489 4.153 4.331